Entry 1:
This record from Alexandria describes TaTeMo2 after structural relaxation. The functional is PBE.

a = 5.2433 Å, b = 5.2433 Å, c = 3.0628 Å
α = 99.61°, β = 99.61°, γ = 115.75°
Closest atoms and distances in Å follow each position.
Fractional coordinates of all 4 atoms:
Ta (0.0000, 0.0000, 0.0000)  2 Te 2.79, 4 Mo 2.81, 2 Ta 3.06
Te (0.5000, 0.5000, 0.0000)  2 Ta 2.79, 4 Mo 2.81, 2 Te 3.06
Mo (0.0000, 0.5000, 0.5000)  4 Mo 2.79-3.06, 2 Ta 2.81, 2 Te 2.81
Mo (0.5000, 0.0000, 0.5000)  4 Mo 2.79-3.06, 2 Ta 2.81, 2 Te 2.81

Summary:
As for the uncorrected formation energy: 0.47 eV per atom. As for the total magnetic moment: 0.0 μB/cell.

---

Entry 2:
This record from Alexandria describes HfNi2Ag2 after structural relaxation. The functional is PBE.

a = 6.4741 Å, b = 6.4741 Å, c = 3.8254 Å
α = 90.00°, β = 90.00°, γ = 90.00°
Closest atoms and distances in Å follow each position.
Fractional coordinates of all 10 atoms:
Hf (0.0000, 0.0000, 0.0000)  4 Ni 2.55
Hf (0.5000, 0.5000, 0.0000)  4 Ni 2.55
Ni (0.1284, 0.3716, 0.0000)  1 Ni 2.35, 2 Hf 2.55
Ni (0.3716, 0.8716, 0.0000)  1 Ni 2.35, 2 Hf 2.55
Ni (0.6284, 0.1284, 0.0000)  1 Ni 2.35, 2 Hf 2.55
Ni (0.8716, 0.6284, 0.0000)  1 Ni 2.35, 2 Hf 2.55
Ag (0.1678, 0.6678, 0.5000)  6 Ni 2.67-2.72
Ag (0.3322, 0.1678, 0.5000)  6 Ni 2.67-2.72
Ag (0.6678, 0.8322, 0.5000)  6 Ni 2.67-2.72
Ag (0.8322, 0.3322, 0.5000)  6 Ni 2.67-2.72

Summary:
For the energy above the most stable polymorph in this dataset, the calculation gives 0.0 kJ/mol of atoms. As for the total magnetic moment: 0.0 μB/cell. Its energy of formation is 0.043 eV/atom.

---

no.,DFT total energy (Ry per atom)
1,-0.6388
2,-0.3970